This record from Alexandria via LeMat-Bulk describes a relaxed Ce2Mn2ZnNi5 crystal. The functional is PBE-GGA.

Lattice parameters (Å, degrees): 8.7086 8.7086 3.8720 90.00 90.00 90.00
Closest atoms and distances in Å follow each position.
Atoms (fractional coordinates):
Ce 0.1853 0.3147 0.0000  1 Mn 2.34
Ce 0.3147 0.8147 0.0000  1 Mn 2.34
Ce 0.6853 0.1853 0.0000  1 Mn 2.34
Ce 0.8147 0.6853 0.0000  1 Mn 2.34
Mn 0.1245 0.6245 0.0000  1 Ce 2.34, 6 Ni 2.47-2.52
Mn 0.3755 0.1245 0.0000  1 Ce 2.34, 6 Ni 2.47-2.52
Mn 0.6245 0.8755 0.0000  1 Ce 2.34, 6 Ni 2.47-2.52
Mn 0.8755 0.3755 0.0000  1 Ce 2.34, 6 Ni 2.47-2.52
Zn 0.0000 0.0000 0.0000  8 Ni 2.67
Zn 0.5000 0.5000 0.0000  8 Ni 2.67
Ni 0.0000 0.5000 0.5000  4 Mn 2.47, 4 Ni 2.63
Ni 0.0567 0.7961 0.5000  2 Mn 2.52, 3 Ni 2.61-2.63, 2 Zn 2.67
Ni 0.2039 0.0567 0.5000  2 Mn 2.52, 3 Ni 2.61-2.63, 2 Zn 2.67
Ni 0.2961 0.5567 0.5000  2 Mn 2.52, 3 Ni 2.61-2.63, 2 Zn 2.67
Ni 0.4433 0.2961 0.5000  2 Mn 2.52, 3 Ni 2.61-2.63, 2 Zn 2.67
Ni 0.5000 0.0000 0.5000  4 Mn 2.47, 4 Ni 2.63
Ni 0.5567 0.7039 0.5000  2 Mn 2.52, 3 Ni 2.61-2.63, 2 Zn 2.67
Ni 0.7039 0.4433 0.5000  2 Mn 2.52, 3 Ni 2.61-2.63, 2 Zn 2.67
Ni 0.7961 0.9433 0.5000  2 Mn 2.52, 3 Ni 2.61-2.63, 2 Zn 2.67
Ni 0.9433 0.2039 0.5000  2 Mn 2.52, 3 Ni 2.61-2.63, 2 Zn 2.67

Energy of formation   -12.23 kJ per mole of atoms

=====

This record from Alexandria via LeMat-Bulk describes a relaxed Ce2MnZn2Ni5 crystal. The functional is PBE-GGA.

Lattice parameters (Å, degrees): 9.6698 9.6698 3.3293 90.00 90.00 90.00
Closest atoms and distances in Å follow each position.
Atoms (fractional coordinates):
Ce 0.1759 0.3241 0.0000  3 Zn 2.73-2.94, 6 Ni 2.93-3.02
Ce 0.3241 0.8241 0.0000  3 Zn 2.73-2.94, 6 Ni 2.93-3.02
Ce 0.6759 0.1759 0.0000  3 Zn 2.73-2.94, 6 Ni 2.93-3.02
Ce 0.8241 0.6759 0.0000  3 Zn 2.73-2.94, 6 Ni 2.93-3.02
Mn 0.0000 0.0000 0.0000  8 Ni 2.56
Mn 0.5000 0.5000 0.0000  8 Ni 2.56
Zn 0.1241 0.6241 0.0000  6 Ni 2.38-2.52
Zn 0.3759 0.1241 0.0000  6 Ni 2.38-2.52
Zn 0.6241 0.8759 0.0000  6 Ni 2.38-2.52
Zn 0.8759 0.3759 0.0000  6 Ni 2.38-2.52
Ni 0.0000 0.5000 0.5000  4 Zn 2.38
Ni 0.0502 0.8054 0.5000  2 Zn 2.52, 2 Mn 2.56, 2 Ni 2.75
Ni 0.1946 0.0502 0.5000  2 Zn 2.52, 2 Mn 2.56, 2 Ni 2.75
Ni 0.3054 0.5502 0.5000  2 Zn 2.52, 2 Mn 2.56, 2 Ni 2.75
Ni 0.4498 0.3054 0.5000  2 Zn 2.52, 2 Mn 2.56, 2 Ni 2.75
Ni 0.5000 0.0000 0.5000  4 Zn 2.38
Ni 0.5502 0.6946 0.5000  2 Zn 2.52, 2 Mn 2.56, 2 Ni 2.75
Ni 0.6946 0.4498 0.5000  2 Zn 2.52, 2 Mn 2.56, 2 Ni 2.75
Ni 0.8054 0.9498 0.5000  2 Zn 2.52, 2 Mn 2.56, 2 Ni 2.75
Ni 0.9498 0.1946 0.5000  2 Zn 2.52, 2 Mn 2.56, 2 Ni 2.75

Energy of formation   -11.76 kJ per mole of atoms

=====

This record from Alexandria via LeMat-Bulk describes a relaxed CeNpMn2 crystal. The functional is PBE-GGA.

Lattice parameters (Å, degrees): 8.4924 8.4924 8.4924 21.12 21.12 21.12
Closest atoms and distances in Å follow each position.
Atoms (fractional coordinates):
Ce 0.0000 0.0000 0.0000  6 Ce 3.11, 6 Mn 3.12
Np 0.5000 0.5000 0.5000  6 Mn 2.40
Mn 0.2308 0.2308 0.2308  3 Np 2.40
Mn 0.7692 0.7692 0.7692  3 Np 2.40

Energy of formation   37.90 kJ per mole of atoms